PBE with a Hubbard U Ac2Mn2Bi2O3, optimized geometry; space group = I4/mmm; volume = 210.2 Å³/cell; raw total energy = -0.4961 Ry/atom
1.0
-2.121 2.121 11.676
2.121 -2.121 11.676
2.121 2.121 -11.676
Ac Mn Bi O
2 2 2 3
Cartesian
0.000 0.000 4.564 Ac
0.000 0.000 18.789 Ac
2.121 0.000 0.000 Mn
0.000 2.121 0.000 Mn
0.000 0.000 9.395 Bi
0.000 0.000 13.957 Bi
0.000 0.000 0.000 O
2.121 0.000 5.838 O
0.000 2.121 5.838 O